Li2Zn5Ni2Ir | the Alexandria database | PBE-GGA | optimized geometry; electronic total energy = -64.881 eV for the cell shown; total magnetic moment = 0.0000 μB per atom; symmetry = P4/mbm
1.0
2.808 0.000 0.000
0.000 10.492 0.000
0.000 0.000 10.492
Li Zn Ni Ir
4 10 4 2
Direct
0.000 0.676 0.176
0.000 0.324 0.824
0.000 0.176 0.324
0.000 0.824 0.676
0.500 0.195 0.061
0.500 0.805 0.939
0.500 0.061 0.805
0.500 0.695 0.439
0.500 0.939 0.195
0.500 0.305 0.561
0.500 0.561 0.695
0.500 0.439 0.305
0.500 0.500 0.000
0.500 0.000 0.500
0.000 0.133 0.633
0.000 0.867 0.367
0.000 0.633 0.867
0.000 0.367 0.133
0.000 0.000 0.000
0.000 0.500 0.500